# 1
This record from Alexandria via LeMat-Bulk describes a relaxed structure of CsAs2Br2. The functional is GGA-PBE.

## Properties
**Magnetization**: 0.0 μB per cell
**Uncorrected formation energy**: 0.12 eV per atom
**Polymorph energy (0 for the lowest one)**: 0.481 eV/atom
**Symmetry**: P4/mbm

Unit cell a=9.7313 b=9.7313 c=3.4900 alpha=90.00 beta=90.00 gamma=90.00
Atoms (fractional coordinates):
Cs: 0.0000 0.0000 0.0000
Cs: 0.5000 0.5000 0.0000
As: 0.2337 0.2663 0.5000
As: 0.2663 0.7663 0.5000
As: 0.7337 0.2337 0.5000
As: 0.7663 0.7337 0.5000
Br: 0.1226 0.6226 0.0000
Br: 0.3774 0.1226 0.0000
Br: 0.6226 0.8774 0.0000
Br: 0.8774 0.3774 0.0000

***

# 2
This record from Alexandria via LeMat-Bulk describes a relaxed structure of Co2IN. The functional is GGA-PBE.

## Properties
**Magnetization**: 1.4 μB per cell
**Uncorrected formation energy**: 1.36 eV per atom
**Polymorph energy (0 for the lowest one)**: 1.042 eV/atom
**Symmetry**: Fm-3m

Unit cell a=4.1577 b=4.1577 c=4.1577 alpha=60.00 beta=60.00 gamma=60.00
Atoms (fractional coordinates):
Co: 0.2500 0.2500 0.2500
Co: 0.7500 0.7500 0.7500
I: 0.0000 0.0000 0.0000
N: 0.5000 0.5000 0.5000

***

# 3
This record from Alexandria via LeMat-Bulk describes a relaxed structure of KDyH2C2SO9. The functional is GGA-PBE.

## Properties
**Magnetization**: 0.0 μB per cell
**Energy**: -6.734 eV/atom
**Symmetry**: P2_1/c

Unit cell a=6.6066 b=8.6084 c=14.7872 alpha=90.00 beta=112.64 gamma=90.00
Atoms (fractional coordinates):
K: 0.0336 0.1485 0.3032
K: 0.0336 0.3515 0.8032
K: 0.9664 0.6485 0.1968
K: 0.9664 0.8515 0.6968
Dy: 0.3336 0.2425 0.5873
Dy: 0.3336 0.2575 0.0873
Dy: 0.6664 0.7425 0.9127
Dy: 0.6664 0.7575 0.4127
H: 0.0382 0.0437 0.9209
H: 0.0382 0.4563 0.4209
H: 0.2720 0.0390 0.9171
H: 0.2720 0.4610 0.4171
H: 0.7280 0.5390 0.5829
H: 0.7280 0.9610 0.0829
H: 0.9618 0.5437 0.5791
H: 0.9618 0.9563 0.0791
C: 0.3638 0.5343 0.7307
C: 0.3638 0.9657 0.2307
C: 0.4162 0.0393 0.7810
C: 0.4162 0.4607 0.2810
C: 0.5838 0.5393 0.7190
C: 0.5838 0.9607 0.2190
C: 0.6362 0.0343 0.7693
C: 0.6362 0.4657 0.2693
S: 0.2576 0.6612 0.0235
S: 0.2576 0.8388 0.5235
S: 0.7424 0.1612 0.4765
S: 0.7424 0.3388 0.9765
O: 0.0454 0.7309 0.9575
O: 0.0454 0.7691 0.4575
O: 0.1806 0.0979 0.9454
O: 0.1806 0.4021 0.4454
O: 0.2159 0.0511 0.1701
O: 0.2159 0.4489 0.6701
O: 0.2493 0.0108 0.5036
O: 0.2493 0.4892 0.0036
O: 0.2700 0.1287 0.7251
O: 0.2700 0.3713 0.2251
O: 0.2975 0.6889 0.1270
O: 0.2975 0.8111 0.6270
O: 0.3460 0.6113 0.8000
O: 0.3460 0.8887 0.3000
O: 0.3967 0.5502 0.3460
O: 0.3967 0.9498 0.8460
O: 0.4364 0.7318 0.9991
O: 0.4364 0.7682 0.4991
O: 0.5636 0.2318 0.5009
O: 0.5636 0.2682 0.0009
O: 0.6033 0.0502 0.1540
O: 0.6033 0.4498 0.6540
O: 0.6540 0.1113 0.7000
O: 0.6540 0.3887 0.2000
O: 0.7025 0.1889 0.3730
O: 0.7025 0.3111 0.8730
O: 0.7300 0.6287 0.7749
O: 0.7300 0.8713 0.2749
O: 0.7507 0.5108 0.9964
O: 0.7507 0.9892 0.4964
O: 0.7841 0.5511 0.3299
O: 0.7841 0.9489 0.8299
O: 0.8194 0.5979 0.5546
O: 0.8194 0.9021 0.0546
O: 0.9546 0.2309 0.5425
O: 0.9546 0.2691 0.0425

***

# 4
This record from Alexandria via LeMat-Bulk describes a relaxed structure of BaWAu2. The functional is GGA-PBE.

## Properties
**ΔH_f (0 K)**: 0.49 eV/atom
**Magnetization**: 0.0 μB per cell
**Polymorph energy (0 for the lowest one)**: 0.266 eV/atom
**Symmetry**: Pm

Unit cell a=3.0679 b=4.6377 c=6.8193 alpha=90.00 beta=96.94 gamma=90.00
Atoms (fractional coordinates):
Ba: 0.0000 0.0000 0.0000
W: 0.8309 0.5000 0.3913
Au: 0.4252 0.0000 0.4651
Au: 0.4277 0.5000 0.7357

***

# 5
This record from Alexandria via LeMat-Bulk describes a relaxed structure of RbCa3Cu. The functional is GGA-PBE.

## Properties
**ΔH_f (0 K)**: 1.38 eV/atom
**Magnetization**: 2.7 μB per cell
**Polymorph energy (0 for the lowest one)**: 1.305 eV/atom
**Symmetry**: Pm-3m

Unit cell a=6.1564 b=6.1564 c=6.1564 alpha=90.00 beta=90.00 gamma=90.00
Atoms (fractional coordinates):
Rb: 0.0000 0.0000 0.0000
Ca: 0.0000 0.0000 0.5000
Ca: 0.0000 0.5000 0.0000
Ca: 0.5000 0.0000 0.0000
Cu: 0.5000 0.5000 0.5000